1.
4
Lattice="3.602 0.000 0.000 0.000 3.602 0.000 0.000 0.000 6.148" Properties=species:S:1:pos:R:3 comment="MgCoSe2 | Alexandria via LeMat-Bulk | PBE-GGA | optimized geometry" de_polymorph_ev_per_atom=0.104 n_ef_per_ev_atom=1.264 total_magnetization_mub_per_fu=2.3 pbc="T T T"
Mg 0.000 0.000 0.000
Co 1.801 1.801 4.085
Se 0.000 0.000 3.460
Se 1.801 1.801 0.445

2.
15
Lattice="9.317 0.000 0.000 -4.658 8.069 0.000 0.000 0.000 6.231" Properties=species:S:1:pos:R:3 comment="Tb8Tm6Cd | Alexandria via LeMat-Bulk | PBE-GGA | optimized geometry" delta_e_f_ev_per_atom=0.109 n_ef_per_ev_atom=1.398 total_magnetization_mub_per_fu=0.0 pbc="T T T"
Tb -0.864 2.161 1.937
Tb -2.355 7.736 1.937
Tb 1.440 1.829 4.294
Tb 0.000 5.379 1.925
Tb 4.658 2.690 4.306
Tb 3.219 6.240 1.937
Tb 7.013 0.333 4.294
Tb 5.522 5.907 4.294
Tm -1.241 3.680 5.077
Tm -0.851 7.303 5.077
Tm 2.566 2.914 1.153
Tm 2.092 5.154 5.077
Tm 5.510 0.765 1.153
Tm 5.899 4.389 1.153
Cd 0.000 0.000 0.000

3.
5
Lattice="-1.728 1.728 8.789 1.728 -1.728 8.789 1.728 1.728 -8.789" Properties=species:S:1:pos:R:3 comment="LiSi2Sb2 | Alexandria via LeMat-Bulk | PBE-GGA | optimized geometry" de_polymorph_ev_per_atom=0.004 n_ef_per_ev_atom=0.235 total_magnetization_mub_per_fu=0.0 pbc="T T T"
Li 0.000 0.000 0.000
Si 1.728 0.000 4.395
Si 0.000 1.728 4.395
Sb 0.000 0.000 7.007
Sb 0.000 0.000 10.571

4.
4
Lattice="0.000 2.967 2.967 2.967 0.000 2.967 2.967 2.967 0.000" Properties=species:S:1:pos:R:3 comment="CrGa2Co | Alexandria via LeMat-Bulk | PBE-GGA | optimized geometry" delta_e_f_ev_per_atom=-0.102 n_ef_per_ev_atom=0.513 total_magnetization_mub_per_fu=3.1 pbc="T T T"
Cr 0.000 0.000 0.000
Ga 1.483 1.483 1.483
Ga 4.450 4.450 4.450
Co 2.967 2.967 2.967

5.
10
Lattice="7.248 0.000 0.000 0.000 7.248 0.000 0.000 0.000 2.691" Properties=species:S:1:pos:R:3 comment="MgNi2Ru2 | Alexandria via LeMat-Bulk | PBE-GGA | optimized geometry" delta_e_f_ev_per_atom=0.219 de_polymorph_ev_per_atom=0.029 n_ef_per_ev_atom=1.615 total_magnetization_mub_per_fu=0.0 pbc="T T T"
Mg 0.000 0.000 0.000
Mg 3.624 3.624 0.000
Ni 1.270 2.354 1.345
Ni 2.354 5.978 1.345
Ni 4.894 1.270 1.345
Ni 5.978 4.894 1.345
Ru 0.884 4.508 0.000
Ru 2.740 0.884 0.000
Ru 4.508 6.364 0.000
Ru 6.364 2.740 0.000

6.
4
Lattice="2.407 1.390 5.672 -2.407 1.390 5.672 0.000 -2.779 5.672" Properties=species:S:1:pos:R:3 comment="AcIn2Si | Alexandria via LeMat-Bulk | PBE-GGA | optimized geometry" final_energy_ev_per_atom=-3.861 n_ef_per_ev_atom=0.962 total_magnetization_mub_per_fu=0.0 pbc="T T T"
Ac 0.000 0.000 0.000
In 0.000 0.000 3.685
In 0.000 0.000 13.331
Si 0.000 0.000 8.508